(1)
Here is an optimized crystal structure of AcCoF5 from Alexandria via LeMat-Bulk. Energies are from PBE with a Hubbard U.

Cell lengths 9.3109, 6.7031, 8.3298 Å; angles 90.00, 112.50, 90.00 degrees
Closest atoms and distances in Å follow each position.
Space group C2/c (No. 15)
Asymmetric unit:
Ac 0.0000 0.0537 0.2500 x4  7 F 2.37-2.55
Co 0.0000 0.5000 0.0000 x4  6 F 1.98-2.15
F 0.0000 0.4232 0.2500 x4  2 Co 2.15
F 0.0365 0.1964 0.9844 x8  1 Co 2.08
F 0.2244 0.4421 0.6163 x8  1 Co 1.98

## Properties
Its total energy is -165.46 eV/cell. The calculation puts the density of states at the Fermi level at 0.00 states/eV per cell.

=====

(2)
Here is an optimized crystal structure of AcCoH2F8 from Alexandria via LeMat-Bulk. Energies are from PBE with a Hubbard U.

Cell lengths 4.4899, 4.5050, 7.9707 Å; angles 87.40, 89.42, 65.08 degrees
Closest atoms and distances in Å follow each position.
Space group P-1 (No. 2)
Asymmetric unit:
Ac 0.0000 0.0000 0.0000 x1  10 F 2.47-2.76
Co 0.0000 0.0000 0.5000 x1  2 F 1.74
H 0.4930 0.4958 0.6980 x2  1 F 1.07
F 0.2295 0.2297 0.5015 x2  1 Co 1.74
F 0.2319 0.7550 0.7026 x2  1 H 1.26
F 0.2874 0.7255 0.2924 x2  1 H 1.07
F 0.3269 0.3249 0.0087 x2  3 Ac 2.47-2.76, 3 F 2.64-2.69, 2 H 2.74-2.75

## Properties
Its total energy is -60.35 eV/cell.